KPuAgSe3 | PBE-GGA | optimized geometry

Summary:
energy relative to the elements, uncorrected = -1.04 eV/atom
magnetization = 4.0 μB/f.u.
mass density = 5.9 g/cm³
space-group type = P2_1/m, No. 11

a = 8.884 Å, b = 4.238 Å, c = 9.744 Å
α = 90.00°, β = 107.08°, γ = 90.00°
Fractional positions:
1 K 0.208 0.250 0.250
2 K 0.792 0.750 0.750
3 Pu 0.322 0.750 0.846
4 Pu 0.678 0.250 0.154
5 Ag 0.080 0.250 0.595
6 Ag 0.920 0.750 0.405
7 Se 0.119 0.250 0.875
8 Se 0.243 0.750 0.544
9 Se 0.459 0.750 0.150
10 Se 0.541 0.250 0.850
11 Se 0.757 0.250 0.456
12 Se 0.881 0.750 0.125

Ho4ScAu5 | PBE-GGA | optimized geometry

Summary:
E_form = -855 meV/atom
magnetization = 0.0 μB/f.u.
mass density = 12.6 g/cm³
space-group type = P4/mmm, No. 123

a = 3.522 Å, b = 3.522 Å, c = 17.995 Å
α = 90.00°, β = 90.00°, γ = 90.00°
Fractional positions:
1 Ho 0.000 0.000 0.102
2 Ho 0.000 0.000 0.306
3 Ho 0.000 0.000 0.694
4 Ho 0.000 0.000 0.898
5 Sc 0.000 0.000 0.500
6 Au 0.500 0.500 0.000
7 Au 0.500 0.500 0.204
8 Au 0.500 0.500 0.411
9 Au 0.500 0.500 0.589
10 Au 0.500 0.500 0.796

SbCl4F | PBE-GGA | optimized geometry

Summary:
energy relative to the elements, uncorrected = -0.99 eV/atom
magnetization = 0.0 μB/f.u.
mass density = 2.4 g/cm³
space-group type = I-4, No. 82

a = 10.490 Å, b = 10.490 Å, c = 10.490 Å
α = 99.14°, β = 99.14°, γ = 133.03°
Fractional positions:
1 Sb 0.511 0.273 0.329
2 Sb 0.727 0.057 0.238
3 Sb 0.819 0.489 0.762
4 Sb 0.943 0.181 0.671
5 Cl 0.003 0.011 0.597
6 Cl 0.004 0.371 0.290
7 Cl 0.053 0.261 0.910
8 Cl 0.081 0.714 0.710
9 Cl 0.220 0.464 0.671
10 Cl 0.286 0.996 0.367
11 Cl 0.351 0.143 0.090
12 Cl 0.414 0.406 0.403
13 Cl 0.451 0.780 0.244
14 Cl 0.536 0.207 0.756
15 Cl 0.594 0.997 0.008
16 Cl 0.629 0.919 0.633
17 Cl 0.739 0.649 0.792
18 Cl 0.793 0.549 0.329
19 Cl 0.857 0.947 0.208
20 Cl 0.989 0.586 0.992
21 F 0.628 0.170 0.303
22 F 0.675 0.372 0.542
23 F 0.830 0.133 0.458
24 F 0.867 0.325 0.697

Pr4TlAg3 | PBE-GGA | optimized geometry

Summary:
E_form = -250 meV/atom
magnetization = 0.0 μB/f.u.
mass density = 7.9 g/cm³
space-group type = Pmm2, No. 25

a = 3.872 Å, b = 4.973 Å, c = 11.891 Å
α = 90.00°, β = 90.00°, γ = 90.00°
Fractional positions:
1 Pr 0.000 0.000 0.000
2 Pr 0.000 0.500 0.281
3 Pr 0.500 0.000 0.484
4 Pr 0.500 0.500 0.793
5 Tl 0.000 0.000 0.717
6 Ag 0.000 0.500 0.558
7 Ag 0.500 0.000 0.213
8 Ag 0.500 0.500 0.068

Cs2Sn2Pt | PBE-GGA | optimized geometry

Summary:
E_form = 145 meV/atom
magnetization = 0.0 μB/f.u.
mass density = 5.6 g/cm³
space-group type = I4/mmm, No. 139

a = 4.178 Å, b = 4.178 Å, c = 23.554 Å
α = 90.00°, β = 90.00°, γ = 90.00°
Fractional positions:
1 Cs 0.000 0.000 0.084
2 Cs 0.000 0.000 0.916
3 Cs 0.500 0.500 0.416
4 Cs 0.500 0.500 0.584
5 Sn 0.000 0.500 0.250
6 Sn 0.000 0.500 0.750
7 Sn 0.500 0.000 0.250
8 Sn 0.500 0.000 0.750
9 Pt 0.000 0.000 0.500
10 Pt 0.500 0.500 0.000

TmSc2S4 | PBE-GGA | optimized geometry

Summary:
energy relative to the elements, uncorrected = -1.96 eV/atom
magnetization = 0.0 μB/f.u.
mass density = 4.6 g/cm³
space-group type = Cmcm, No. 63

a = 6.358 Å, b = 6.358 Å, c = 12.661 Å
α = 90.00°, β = 90.00°, γ = 146.54°
Fractional positions:
1 Tm 0.125 0.875 0.750
2 Tm 0.875 0.125 0.250
3 Sc 0.372 0.628 0.566
4 Sc 0.372 0.628 0.934
5 Sc 0.628 0.372 0.066
6 Sc 0.628 0.372 0.434
7 S 0.000 0.000 0.000
8 S 0.000 0.000 0.500
9 S 0.274 0.726 0.119
10 S 0.274 0.726 0.381
11 S 0.463 0.537 0.750
12 S 0.537 0.463 0.250
13 S 0.726 0.274 0.619
14 S 0.726 0.274 0.881

Number 1: DFT total energy -5.831 eV per atom. Number 2: DFT total energy -4.958 eV per atom. Number 3: DFT total energy -3.220 eV per atom. Number 4: DFT total energy -4.004 eV per atom. Number 5: DFT total energy -3.005 eV per atom. Number 6: DFT total energy -6.770 eV per atom.